No. 1
The following is a DFT calculation (PBE-GGA) of a geometry-optimized Fe2HgAs2 structure.

Output
Space group = I4/mmm (139)
Final energy = -5.045 eV/atom
ΔE to the lowest computed polymorph = 134 meV per atom
Calculated density = 9.814 Mg/m³

```
Fe2HgAs2
1.0
-1.893 1.893 5.455
1.893 -1.893 5.455
1.893 1.893 -5.455
Fe Hg As
2 1 2
Direct
0.118 0.118 0.000 Fe
0.882 0.882 0.000 Fe
0.500 0.500 0.000 Hg
0.250 0.750 0.500 As
0.750 0.250 0.500 As
```


No. 2
The following is a DFT calculation (PBE-GGA) of a geometry-optimized FeHg2As2 structure.

Output
Space group = P4/mbm (127)
Final energy = -3.540 eV/atom
Calculated density = 9.447 Mg/m³

```
FeHg2As2
1.0
6.141 0.000 0.000
0.000 6.141 0.000
0.000 0.000 5.657
Fe Hg As
2 4 4
Direct
0.000 0.000 0.000 Fe
0.500 0.500 0.000 Fe
0.181 0.319 0.500 Hg
0.319 0.819 0.500 Hg
0.681 0.181 0.500 Hg
0.819 0.681 0.500 Hg
0.147 0.353 0.000 As
0.353 0.853 0.000 As
0.647 0.147 0.000 As
0.853 0.647 0.000 As
```


No. 3
The following is a DFT calculation (PBE-GGA) of a geometry-optimized Fe3HgAs structure.

Output
Space group = Pm-3m (221)
Final energy = -4.489 eV/atom
ΔE to the lowest computed polymorph = 925 meV per atom
Calculated density = 6.609 Mg/m³

```
Fe3HgAs
1.0
4.810 0.000 0.000
0.000 4.810 0.000
0.000 0.000 4.810
Fe Hg As
3 1 1
Direct
0.000 0.000 0.500 Fe
0.000 0.500 0.000 Fe
0.500 0.000 0.000 Fe
0.000 0.000 0.000 Hg
0.500 0.500 0.500 As
```


Question: Which value of calculated density does entry 1 give?
Answer: 9.814 Mg/m³